First-principles (GGA-PBE) data for an optimized crystal structure of Co2Sb2Au, as listed in Alexandria.

Output
- Uncorrected energy: -50.57 eV per cell
- Space group: No. 127
- Magnetic moment: 0.00 μB per cell

Cell: 7.057 7.057 3.357 Å, 90.00 90.00 90.00°
Fractional positions:
Sb: 0.161 0.661 0.500
Sb: 0.661 0.839 0.500
Sb: 0.839 0.339 0.500
Sb: 0.339 0.161 0.500
Au: 0.000 0.000 0.000
Au: 0.500 0.500 0.000
Co: 0.366 0.866 0.000
Co: 0.866 0.634 0.000
Co: 0.634 0.134 0.000
Co: 0.134 0.366 0.000

***

First-principles (GGA-PBE) data for an optimized crystal structure of CeEr3Sc7, as listed in Alexandria.

Output
- Uncorrected energy: -60.65 eV per cell
- Space group: No. 71
- Magnetic moment: 1.14 μB per cell
- Calculated formation energy: 0.299 eV/atom

Cell: 5.394 7.954 7.954 Å, 82.74 109.84 109.84°
Each line ends with the local moment (μB).
Fractional positions:
Ce: 0.500 0.500 0.500  -0.72
Er: 0.000 0.793 0.207  -0.01
Er: 0.500 0.000 0.000  0.00
Er: 0.000 0.207 0.793  -0.01
Sc: 0.213 0.212 0.212  -0.04
Sc: 0.283 0.975 0.591  0.00
Sc: 0.717 0.409 0.025  0.00
Sc: 0.283 0.591 0.975  0.00
Sc: 0.000 0.500 0.500  -0.16
Sc: 0.717 0.025 0.409  0.00
Sc: 0.787 0.788 0.788  -0.04

***

First-principles (GGA-PBE) data for an optimized crystal structure of Pu3Ge3Ru2, as listed in Alexandria.

Output
- Uncorrected energy: -314.62 eV per cell
- Space group: No. 62
- Magnetic moment: 60.31 μB per cell
- Calculated formation energy: -0.407 eV/atom

Cell: 5.520 7.989 14.604 Å, 90.00 90.00 90.00°
Each line ends with the local moment (μB).
Fractional positions:
Pu: 0.112 0.466 0.391  5.10
Pu: 0.612 0.034 0.609  5.10
Pu: 0.888 0.534 0.891  5.10
Pu: 0.388 0.966 0.109  5.10
Pu: 0.888 0.534 0.609  5.10
Pu: 0.388 0.966 0.391  5.10
Pu: 0.112 0.466 0.109  5.10
Pu: 0.612 0.034 0.891  5.10
Pu: 0.628 0.330 0.250  5.02
Pu: 0.128 0.170 0.750  5.02
Pu: 0.372 0.670 0.750  5.02
Pu: 0.872 0.830 0.250  5.02
Ge: 0.129 0.180 0.250  -0.08
Ge: 0.629 0.320 0.750  -0.08
Ge: 0.871 0.820 0.750  -0.08
Ge: 0.371 0.680 0.250  -0.08
Ge: 0.603 0.316 0.466  0.01
Ge: 0.103 0.184 0.534  0.01
Ge: 0.397 0.684 0.966  0.01
Ge: 0.897 0.816 0.034  0.01
Ge: 0.397 0.684 0.534  0.01
Ge: 0.897 0.816 0.466  0.01
Ge: 0.603 0.316 0.034  0.01
Ge: 0.103 0.184 0.966  0.01
Ru: 0.861 0.098 0.388  -0.43
Ru: 0.361 0.402 0.612  -0.43
Ru: 0.139 0.902 0.888  -0.43
Ru: 0.639 0.598 0.112  -0.43
Ru: 0.139 0.902 0.612  -0.43
Ru: 0.639 0.598 0.388  -0.43
Ru: 0.861 0.098 0.112  -0.43
Ru: 0.361 0.402 0.888  -0.43

***

First-principles (GGA-PBE) data for an optimized crystal structure of Sc2SnBi, as listed in Alexandria.

Output
- Uncorrected energy: -22.35 eV per cell
- Space group: No. 123
- Magnetic moment: 0.75 μB per cell
- Calculated formation energy: -0.450 eV/atom

Cell: 4.174 4.828 4.828 Å, 90.00 90.00 90.00°
Each line ends with the local moment (μB).
Fractional positions:
Sc: 0.000 0.000 0.500  0.26
Sc: 0.000 0.500 0.000  0.26
Bi: 0.500 0.500 0.500  -0.01
Sn: 0.500 0.000 0.000  -0.01